No. 1
The following is a PBE-GGA calculation of crystalline Zr2BeTl at its relaxed geometry, from Alexandria.

Structure (POSCAR):
```
Zr2BeTl
1.0
3.751 0.000 0.000
0.000 3.100 0.012
0.000 3.065 6.778
Be Tl Zr
1 1 2
direct
0.500 0.250 0.250 Be
0.500 0.750 0.750 Tl
0.000 0.969 0.033 Zr
0.000 0.531 0.467 Zr
```

Summary:
Polymorph energy (0 for the lowest one) ... 0.32 eV per formula unit
Symmetry ... P2/m, No. 10
Total DFT energy (no corrections) ... -23.07 eV for the cell shown
Calculated volume ... 78.69 Å³/cell
Formation energy ... 0.11 eV/f.u.

***

No. 2
The following is a PBE-GGA calculation of crystalline ZrBe2Tl at its relaxed geometry, from Alexandria.

Structure (POSCAR):
```
ZrBe2Tl
1.0
-3.380 -2.830 7.783
-5.224 -4.307 5.847
-2.513 -5.504 6.588
Zr Be Tl
1 2 1
direct
0.738 0.738 0.738 Zr
0.264 0.264 0.264 Be
0.988 0.988 0.988 Be
0.510 0.510 0.510 Tl
```

Summary:
Polymorph energy (0 for the lowest one) ... 2.29 eV per formula unit
Symmetry ... R3m, No. 160
Total DFT energy (no corrections) ... -15.97 eV for the cell shown
Calculated volume ... 70.88 Å³/cell
Formation energy ... 2.39 eV/f.u.

***

No. 3
The following is a PBE-GGA calculation of crystalline ZrBeTl2 at its relaxed geometry, from Alexandria.

Structure (POSCAR):
```
ZrBeTl2
1.0
5.339 0.001 0.000
-1.855 5.006 0.000
0.000 0.000 3.207
Be Tl Zr
1 2 1
direct
0.000 0.500 0.500 Be
0.500 0.500 0.000 Tl
0.000 0.000 0.000 Tl
0.500 0.000 0.500 Zr
```

Summary:
Polymorph energy (0 for the lowest one) ... 0.57 eV per formula unit
Symmetry ... Cmmm, No. 65
Total DFT energy (no corrections) ... -15.45 eV for the cell shown
Calculated volume ... 85.71 Å³/cell
Formation energy ... 1.55 eV/f.u.

***

No. 4
The following is a PBE-GGA calculation of crystalline ZrBe2Tl at its relaxed geometry, from Alexandria.

Structure (POSCAR):
```
ZrBe2Tl
1.0
4.593 0.000 0.000
2.296 3.978 0.000
2.296 1.326 3.750
Be Zr Tl
2 1 1
direct
0.000 0.000 0.000 Be
0.250 0.250 0.250 Be
0.750 0.750 0.750 Zr
0.500 0.500 0.500 Tl
```

Summary:
Polymorph energy (0 for the lowest one) ... 2.27 eV per formula unit
Symmetry ... F-43m, No. 216
Total DFT energy (no corrections) ... -15.99 eV for the cell shown
Calculated volume ... 68.51 Å³/cell
Formation energy ... 2.37 eV/f.u.

***

No. 5
The following is a PBE-GGA calculation of crystalline ZrBe2Tl at its relaxed geometry, from Alexandria.

Structure (POSCAR):
```
ZrBe2Tl
1.0
-1.583 0.124 -3.384
-1.962 -2.923 -1.255
-5.764 1.178 0.657
Be Tl Zr
2 1 1
direct
0.705 0.705 0.884 Be
0.039 0.039 0.882 Be
0.476 0.476 0.574 Tl
0.279 0.279 0.160 Zr
```

Summary:
Polymorph energy (0 for the lowest one) ... 0.00 eV per formula unit
Symmetry ... Cm, No. 8
Total DFT energy (no corrections) ... -18.26 eV for the cell shown
Calculated volume ... 66.57 Å³/cell
Formation energy ... 0.10 eV/f.u.

***

No. 6
The following is a PBE-GGA calculation of crystalline ZrBeTl2 at its relaxed geometry, from Alexandria.

Structure (POSCAR):
```
ZrBeTl2
1.0
5.601 -0.008 0.000
2.453 5.036 0.000
-4.027 -2.514 2.973
Tl Be Zr
2 1 1
direct
0.500 0.500 0.000 Tl
0.000 0.000 0.000 Tl
0.750 0.250 0.500 Be
0.250 0.750 0.500 Zr
```

Summary:
Polymorph energy (0 for the lowest one) ... 0.51 eV per formula unit
Symmetry ... I4/mmm, No. 139
Total DFT energy (no corrections) ... -15.52 eV for the cell shown
Calculated volume ... 83.90 Å³/cell
Formation energy ... 1.49 eV/f.u.

***

No. 7
The following is a PBE-GGA calculation of crystalline ZrBe3Tl at its relaxed geometry, from Alexandria.

Structure (POSCAR):
```
ZrBe3Tl
1.0
4.822 0.000 0.000
0.000 4.822 0.000
0.000 0.000 4.822
Be Tl Zr
3 1 1
direct
0.500 0.000 0.000 Be
0.000 0.500 0.000 Be
0.000 0.000 0.500 Be
0.500 0.500 0.500 Tl
0.000 0.000 0.000 Zr
```

Summary:
Polymorph energy (0 for the lowest one) ... 2.31 eV per formula unit
Symmetry ... Pm-3m, No. 221
Total DFT energy (no corrections) ... -14.33 eV for the cell shown
Calculated volume ... 112.10 Å³/cell
Formation energy ... 7.76 eV/f.u.

***

No. 8
The following is a PBE-GGA calculation of crystalline Zr2BeTl2 at its relaxed geometry, from Alexandria.

Structure (POSCAR):
```
Zr2BeTl2
1.0
6.927 0.000 0.000
0.000 6.927 0.000
0.000 0.000 4.718
Be Zr Tl
2 4 4
direct
0.500 0.500 0.000 Be
0.000 0.000 0.000 Be
0.341 0.841 0.000 Zr
0.841 0.659 0.000 Zr
0.159 0.341 0.000 Zr
0.659 0.159 0.000 Zr
0.659 0.841 0.500 Tl
0.841 0.341 0.500 Tl
0.341 0.159 0.500 Tl
0.159 0.659 0.500 Tl
```

Summary:
Symmetry ... P4/mbm, No. 127
Total DFT energy (no corrections) ... -48.55 eV for the cell shown
Calculated volume ... 226.36 Å³/cell
Formation energy ... 1.28 eV/f.u.

***

No. 9
The following is a PBE-GGA calculation of crystalline ZrBeTl2 at its relaxed geometry, from Alexandria.

Structure (POSCAR):
```
ZrBeTl2
1.0
3.411 0.000 0.000
0.000 3.410 0.000
0.000 0.000 7.075
Tl Zr Be
2 1 1
direct
0.000 0.000 0.967 Tl
0.000 0.000 0.533 Tl
0.500 0.500 0.250 Zr
0.500 0.500 0.750 Be
```

Summary:
Polymorph energy (0 for the lowest one) ... 0.53 eV per formula unit
Symmetry ... P4/mmm, No. 123
Total DFT energy (no corrections) ... -15.49 eV for the cell shown
Calculated volume ... 82.29 Å³/cell
Formation energy ... 1.52 eV/f.u.

***

No. 10
The following is a PBE-GGA calculation of crystalline ZrBe2Tl at its relaxed geometry, from Alexandria.

Structure (POSCAR):
```
ZrBe2Tl
1.0
4.032 -0.010 -0.008
2.023 3.487 -0.008
2.020 1.160 4.552
Be Zr Tl
2 1 1
direct
0.465 0.465 0.603 Be
0.035 0.035 0.897 Be
0.250 0.250 0.250 Zr
0.750 0.750 0.750 Tl
```

Summary:
Polymorph energy (0 for the lowest one) ... 0.94 eV per formula unit
Symmetry ... C2/m, No. 12
Total DFT energy (no corrections) ... -17.32 eV for the cell shown
Calculated volume ... 64.17 Å³/cell
Formation energy ... 1.04 eV/f.u.

***

No. 11
The following is a PBE-GGA calculation of crystalline Zr2Be2Tl at its relaxed geometry, from Alexandria.

Structure (POSCAR):
```
Zr2Be2Tl
1.0
-4.870 -1.381 3.244
-2.191 3.981 3.937
1.766 -0.140 -5.746
Zr Tl Be
2 1 2
direct
0.750 0.250 0.500 Zr
0.250 0.750 0.500 Zr
0.000 0.000 0.000 Tl
0.598 0.598 0.000 Be
0.402 0.402 0.000 Be
```

Summary:
Polymorph energy (0 for the lowest one) ... 2.99 eV per formula unit
Symmetry ... I4/mmm, No. 139
Total DFT energy (no corrections) ... -25.04 eV for the cell shown
Calculated volume ... 94.70 Å³/cell
Formation energy ... 1.87 eV/f.u.

***

No. 12
The following is a PBE-GGA calculation of crystalline ZrBe4Tl at its relaxed geometry, from Alexandria.

Structure (POSCAR):
```
ZrBe4Tl
1.0
0.000 3.441 3.441
3.441 0.000 3.441
3.441 3.441 0.000
Be Tl Zr
4 1 1
direct
0.366 0.903 0.366 Be
0.903 0.366 0.366 Be
0.366 0.366 0.366 Be
0.366 0.366 0.903 Be
0.750 0.750 0.750 Tl
0.000 0.000 0.000 Zr
```

Summary:
Symmetry ... F-43m, No. 216
Total DFT energy (no corrections) ... -23.94 eV for the cell shown
Calculated volume ... 81.47 Å³/cell
Formation energy ... 1.88 eV/f.u.

***

Which value of calculated volume does entry 10 give?
64.17 Å³/cell

***

calculated volume of number 9 (ZrBeTl2)?
82.29 Å³/cell

***

What did the eighth record say?
The following is a PBE-GGA calculation of crystalline Zr2BeTl2 at its relaxed geometry, from Alexandria.

Structure (POSCAR):
```
Zr2BeTl2
1.0
6.927 0.000 0.000
0.000 6.927 0.000
0.000 0.000 4.718
Be Zr Tl
2 4 4
direct
0.500 0.500 0.000 Be
0.000 0.000 0.000 Be
0.341 0.841 0.000 Zr
0.841 0.659 0.000 Zr
0.159 0.341 0.000 Zr
0.659 0.159 0.000 Zr
0.659 0.841 0.500 Tl
0.841 0.341 0.500 Tl
0.341 0.159 0.500 Tl
0.159 0.659 0.500 Tl
```

Summary:
Symmetry ... P4/mbm, No. 127
Total DFT energy (no corrections) ... -48.55 eV for the cell shown
Calculated volume ... 226.36 Å³/cell
Formation energy ... 1.28 eV/f.u.